Below is a relaxed structure of Sc3In5S12, with properties calculated at the PBE level.

Unit cell a=13.3435 b=13.3435 c=13.3435 alpha=109.47 beta=109.47 gamma=109.47
With the nearest neighbours (Å) after each atom.
Element x y z (fractional)
S (0.8655, 0.2773, 0.4500)  2 In 2.45-2.61
S (0.6727, 0.4500, 0.5845)  2 In 2.45-2.61
S (0.9155, 0.0882, 0.8655)  2 In 2.45-2.61
S (0.7227, 0.5882, 0.1727)  2 In 2.45-2.61
S (0.5882, 0.8655, 0.4155)  2 In 2.45-2.61
S (0.5500, 0.3273, 0.9155)  2 In 2.45-2.61
Sc (0.3750, 0.7500, 0.6250)  8 S 2.84-2.88
S (0.4155, 0.3655, 0.5882)  2 In 2.45-2.61
S (0.3655, 0.4155, 0.0882)  2 In 2.45-2.61
In (0.0000, 0.0000, 0.0000)  6 S 2.61
S (0.6727, 0.2227, 0.5882)  2 In 2.45-2.61
Sc (0.2500, 0.6250, 0.8750)  8 S 2.84-2.88
S (0.4155, 0.0500, 0.3273)  2 In 2.45-2.61
In (0.3750, 0.1250, 0.7500)  4 S 2.45
Sc (0.7500, 0.8750, 0.6250)  8 S 2.84-2.88
In (0.3750, 0.2500, 0.1250)  4 S 2.45
In (0.8750, 0.6250, 0.7500)  4 S 2.45
In (0.0000, 0.5000, 0.0000)  6 S 2.61
S (0.0500, 0.6345, 0.7227)  2 In 2.45-2.61
Sc (0.3750, 0.6250, 0.2500)  8 S 2.84-2.88
In (0.5000, 0.0000, 0.5000)  6 S 2.61
In (0.6250, 0.7500, 0.8750)  4 S 2.45
S (0.9118, 0.8273, 0.7773)  2 In 2.45-2.61
S (0.1345, 0.4118, 0.0845)  2 In 2.45-2.61
S (0.8273, 0.9155, 0.0500)  2 In 2.45-2.61
S (0.5500, 0.2227, 0.1345)  2 In 2.45-2.61
S (0.4118, 0.1345, 0.5845)  2 In 2.45-2.61
S (0.1345, 0.7227, 0.5500)  2 In 2.45-2.61
In (0.0000, 0.0000, 0.5000)  6 S 2.61
S (0.0845, 0.9118, 0.1345)  2 In 2.45-2.61
Sc (0.8750, 0.1250, 0.2500)  8 S 2.84-2.88
S (0.8273, 0.9118, 0.2773)  2 In 2.45-2.61
S (0.3655, 0.9500, 0.7773)  2 In 2.45-2.61
S (0.3273, 0.7773, 0.4118)  2 In 2.45-2.61
S (0.4500, 0.6727, 0.0845)  2 In 2.45-2.61
S (0.7227, 0.1345, 0.0500)  2 In 2.45-2.61
S (0.8655, 0.5882, 0.9155)  2 In 2.45-2.61
Sc (0.7500, 0.3750, 0.1250)  8 S 2.84-2.88
S (0.9155, 0.8273, 0.5500)  2 In 2.45-2.61
S (0.9500, 0.5845, 0.1727)  2 In 2.45-2.61
S (0.6345, 0.0500, 0.2227)  2 In 2.45-2.61
S (0.0882, 0.1727, 0.2227)  2 In 2.45-2.61
S (0.0845, 0.1727, 0.4500)  2 In 2.45-2.61
Sc (0.2500, 0.1250, 0.3750)  8 S 2.84-2.88
S (0.5845, 0.6345, 0.4118)  2 In 2.45-2.61
In (0.6250, 0.8750, 0.2500)  4 S 2.45
S (0.7773, 0.3273, 0.9118)  2 In 2.45-2.61
S (0.7773, 0.4500, 0.3655)  2 In 2.45-2.61
Sc (0.8750, 0.7500, 0.1250)  8 S 2.84-2.88
S (0.2227, 0.5500, 0.6345)  2 In 2.45-2.61
In (0.1250, 0.7500, 0.3750)  4 S 2.45
S (0.4118, 0.2773, 0.3273)  2 In 2.45-2.61
In (0.5000, 0.5000, 0.5000)  6 S 2.61
S (0.2773, 0.4118, 0.8273)  2 In 2.45-2.61
S (0.9500, 0.3655, 0.2773)  2 In 2.45-2.61
In (0.1250, 0.3750, 0.2500)  4 S 2.45
Sc (0.1250, 0.2500, 0.8750)  8 S 2.84-2.88
Sc (0.1250, 0.8750, 0.7500)  8 S 2.84-2.88
In (0.7500, 0.6250, 0.3750)  4 S 2.45
In (0.7500, 0.1250, 0.8750)  4 S 2.45
S (0.5882, 0.7227, 0.6727)  2 In 2.45-2.61
S (0.1727, 0.0882, 0.7227)  2 In 2.45-2.61
S (0.0500, 0.4155, 0.8273)  2 In 2.45-2.61
Sc (0.6250, 0.2500, 0.3750)  8 S 2.84-2.88
In (0.2500, 0.3750, 0.6250)  4 S 2.45
In (0.0000, 0.5000, 0.5000)  6 S 2.61
S (0.9118, 0.0845, 0.6345)  2 In 2.45-2.61
S (0.5845, 0.9500, 0.6727)  2 In 2.45-2.61
S (0.1727, 0.0845, 0.9500)  2 In 2.45-2.61
S (0.2773, 0.8655, 0.9500)  2 In 2.45-2.61
In (0.5000, 0.0000, 0.0000)  6 S 2.61
S (0.2227, 0.6727, 0.0882)  2 In 2.45-2.61
In (0.2500, 0.8750, 0.1250)  4 S 2.45
S (0.4500, 0.7773, 0.8655)  2 In 2.45-2.61
S (0.0882, 0.9155, 0.3655)  2 In 2.45-2.61
In (0.5000, 0.5000, 0.0000)  6 S 2.61
In (0.8750, 0.2500, 0.6250)  4 S 2.45
Sc (0.6250, 0.3750, 0.7500)  8 S 2.84-2.88
S (0.6345, 0.5845, 0.9118)  2 In 2.45-2.61
S (0.3273, 0.5500, 0.4155)  2 In 2.45-2.61

Properties
Formation energy from raw total energies = -891 meV per atom
Crystal system = cubic
Energy = -5.002 eV per atom

Below is a relaxed structure of CaPuSi, with properties calculated at the PBE level.

Unit cell a=3.6432 b=3.6432 c=9.9864 alpha=90.00 beta=90.00 gamma=90.00
With the nearest neighbours (Å) after each atom.
Element x y z (fractional)
Pu (0.5000, 0.5000, 0.5000)  4 Pu 2.58, 4 Si 2.83
Pu (0.0000, 0.0000, 0.5000)  4 Pu 2.58, 4 Si 2.83
Ca (0.0000, 0.5000, 0.8508)  4 Si 2.91
Ca (0.5000, 0.0000, 0.1492)  4 Si 2.91
Si (0.0000, 0.5000, 0.2837)  4 Pu 2.83, 4 Ca 2.91
Si (0.5000, 0.0000, 0.7163)  4 Pu 2.83, 4 Ca 2.91

Properties
E above lowest polymorph = 92 meV per atom
Formation energy from raw total energies = -32 meV per atom
Crystal system = tetragonal
Energy = -7.284 eV per atom

Below is a relaxed structure of AcThHg, with properties calculated at the PBE level.

Unit cell a=3.8915 b=3.8915 c=7.2018 alpha=105.67 beta=105.67 gamma=90.00
With the nearest neighbours (Å) after each atom.
Element x y z (fractional)
Ac (0.0103, 0.0103, 0.0206)  4 Hg 3.53, 4 Th 3.80, 4 Ac 3.89
Hg (0.6765, 0.6765, 0.3530)  4 Th 3.30, 4 Ac 3.53
Th (0.3132, 0.3132, 0.6265)  4 Hg 3.30

Properties
DFT formation energy = -14.00 kJ per mole of atoms
E above lowest polymorph = 0 meV per atom
Crystal system = tetragonal
Energy = -4.088 eV per atom

Below is a relaxed structure of Re3TeC, with properties calculated at the PBE level.

Unit cell a=4.1948 b=4.1948 c=4.1948 alpha=90.00 beta=90.00 gamma=90.00
With the nearest neighbours (Å) after each atom.
Element x y z (fractional)
Re (0.5000, 0.0000, 0.0000)  2 C 2.10
Te (0.5000, 0.5000, 0.5000)  12 Re 2.97
C (0.0000, 0.0000, 0.0000)  6 Re 2.10
Re (0.0000, 0.5000, 0.0000)  2 C 2.10
Re (0.0000, 0.0000, 0.5000)  2 C 2.10

Properties
E above lowest polymorph = 0 meV per atom
Formation energy from raw total energies = 828 meV per atom
Crystal system = cubic
Energy = -9.114 eV per atom

Below is a relaxed structure of CsZrI3, with properties calculated at the PBE level.

Unit cell a=8.7867 b=8.7867 c=8.7867 alpha=68.09 beta=68.09 gamma=68.09
With the nearest neighbours (Å) after each atom.
Element x y z (fractional)
I (0.0353, 0.4647, 0.7500)  1 Zr 2.81
I (0.7500, 0.0353, 0.4647)  1 Zr 2.81
I (0.2500, 0.9647, 0.5353)  1 Zr 2.81
Zr (0.2500, 0.2500, 0.2500)  3 I 2.81
Cs (0.5000, 0.5000, 0.5000)  6 I 3.92
I (0.4647, 0.7500, 0.0353)  1 Zr 2.81
I (0.9647, 0.5353, 0.2500)  1 Zr 2.81
I (0.5353, 0.2500, 0.9647)  1 Zr 2.81
Cs (0.0000, 0.0000, 0.0000)  6 I 3.92
Zr (0.7500, 0.7500, 0.7500)  3 I 2.81

Properties
E above lowest polymorph = 374 meV per atom
Formation energy from raw total energies = -664 meV per atom
Crystal system = trigonal
Energy = -3.474 eV per atom

Below is a relaxed structure of CaNbZn, with properties calculated at the PBE level.

Unit cell a=4.7773 b=7.3444 c=7.8565 alpha=90.00 beta=90.00 gamma=90.00
With the nearest neighbours (Å) after each atom.
Element x y z (fractional)
Zn (0.0000, 0.1871, 0.8136)  1 Zn 2.75, 3 Nb 2.75-2.80
Ca (0.0000, 0.0000, 0.4131)  6 Nb 3.22-3.27, 6 Zn 3.41-3.43
Zn (0.5000, 0.6871, 0.3136)  1 Zn 2.75, 3 Nb 2.75-2.80
Zn (0.0000, 0.8129, 0.8136)  1 Zn 2.75, 3 Nb 2.75-2.80
Nb (0.5000, 0.1631, 0.6407)  1 Nb 2.40
Ca (0.5000, 0.5000, 0.9131)  6 Nb 3.22-3.27, 6 Zn 3.41-3.43
Nb (0.0000, 0.3369, 0.1407)  1 Nb 2.40
Nb (0.0000, 0.6631, 0.1407)  1 Nb 2.40
Zn (0.5000, 0.3129, 0.3136)  1 Zn 2.75, 3 Nb 2.75-2.80
Ca (0.5000, 0.0000, 0.0423)  6 Zn 3.13-3.29, 2 Nb 3.38
Ca (0.0000, 0.5000, 0.5423)  6 Zn 3.13-3.29, 2 Nb 3.38
Nb (0.5000, 0.8369, 0.6407)  1 Nb 2.40

Properties
DFT formation energy = 24.71 kJ per mole of atoms
E above lowest polymorph = 161 meV per atom
Crystal system = orthorhombic
Energy = -4.192 eV per atom

Below is a relaxed structure of Ac2HPb2, with properties calculated at the PBE level.

Unit cell a=5.4175 b=7.0919 c=8.7064 alpha=90.00 beta=108.13 gamma=90.00
With the nearest neighbours (Å) after each atom.
Element x y z (fractional)
Ac (0.5619, 0.9067, 0.1238)  2 H 2.57-2.78
Ac (0.4381, 0.4067, 0.8762)  2 H 2.57-2.78
Pb (0.0192, 0.1839, 0.0384)  1 Pb 3.19, 6 Ac 3.37-3.45, 2 H 3.42
H (0.5938, 0.5525, 0.1876)  2 Ac 2.57-2.78
Pb (0.8061, 0.4950, 0.6123)  1 Pb 3.19, 5 Ac 3.49-3.55, 1 H 3.54
Ac (0.8270, 0.9963, 0.6541)  2 H 3.04, 1 Pb 3.37
Ac (0.1730, 0.4963, 0.3459)  2 H 3.04, 1 Pb 3.37
H (0.4062, 0.0525, 0.8124)  2 Ac 2.57-2.78
Pb (0.9808, 0.6839, 0.9616)  1 Pb 3.19, 6 Ac 3.37-3.45, 2 H 3.42
Pb (0.1939, 0.9950, 0.3877)  1 Pb 3.19, 5 Ac 3.49-3.55, 1 H 3.54

Properties
Crystal system = orthorhombic
Energy = -4.214 eV per atom

Below is a relaxed structure of Pu3MgPb4, with properties calculated at the PBE level.

Unit cell a=4.8444 b=4.8445 c=9.9829 alpha=104.05 beta=104.04 gamma=90.00
With the nearest neighbours (Å) after each atom.
Element x y z (fractional)
Mg (0.5000, 0.0000, 0.0000)  8 Pb 3.32-3.33, 4 Pu 3.43
Pu (0.2453, 0.7452, 0.4905)  8 Pb 3.36-3.48, 4 Pu 3.43
Pb (0.6214, 0.6208, 0.2428)  2 Mg 3.32-3.33, 6 Pu 3.32-3.48, 4 Pb 3.42-3.43
Pu (0.0000, 0.5000, 0.0000)  8 Pb 3.32-3.33, 4 Mg 3.43
Pb (0.1214, 0.1210, 0.2428)  6 Pu 3.32-3.48, 2 Mg 3.32, 4 Pb 3.42-3.43
Pu (0.7547, 0.2548, 0.5095)  8 Pb 3.36-3.48, 4 Pu 3.43
Pb (0.3786, 0.3792, 0.7572)  2 Mg 3.32-3.33, 6 Pu 3.32-3.48, 4 Pb 3.42-3.43
Pb (0.8786, 0.8790, 0.7572)  6 Pu 3.32-3.48, 2 Mg 3.32, 4 Pb 3.42-3.43

Properties
DFT formation energy = -14.53 kJ per mole of atoms
Crystal system = tetragonal
Energy = -7.579 eV per atom

Below is a relaxed structure of Ho8Ir2Pd, with properties calculated at the PBE level.

Unit cell a=5.8177 b=7.5366 c=7.5366 alpha=111.90 beta=99.49 gamma=99.49
With the nearest neighbours (Å) after each atom.
Element x y z (fractional)
Ir (0.4891, 0.3158, 0.6932)  8 Ho 2.79-3.11
Ho (0.5844, 0.0782, 0.3399)  2 Ir 2.79-2.80
Ho (0.3878, 0.6682, 0.9299)  2 Ir 2.80-2.81, 1 Pd 3.10
Ho (0.8004, 0.6343, 0.6343)  2 Ir 2.98, 1 Pd 3.12
Ho (0.1761, 0.3681, 0.3681)  2 Ir 2.99, 1 Pd 3.01
Ir (0.4891, 0.6932, 0.3158)  8 Ho 2.79-3.11
Ho (0.5844, 0.3399, 0.0782)  2 Ir 2.79-2.80
Ho (0.9897, 0.7766, 0.2270)  1 Pd 2.91, 2 Ir 3.09-3.11
Ho (0.3878, 0.9299, 0.6682)  2 Ir 2.80-2.81, 1 Pd 3.10
Ho (0.9897, 0.2270, 0.7766)  1 Pd 2.91, 2 Ir 3.09-3.11
Pd (0.1213, 0.0027, 0.0027)  8 Ho 2.91-3.19

Properties
DFT formation energy = -46.69 kJ per mole of atoms
E above lowest polymorph = 57 meV per atom
Crystal system = monoclinic
Energy = -5.896 eV per atom

Below is a relaxed structure of Li2SiAs, with properties calculated at the PBE level.

Unit cell a=4.8544 b=4.8544 c=2.7980 alpha=90.00 beta=90.00 gamma=113.15
With the nearest neighbours (Å) after each atom.
Element x y z (fractional)
Si (0.5000, 0.0000, 0.5000)  2 As 2.67, 2 Si 2.80, 8 Li 2.80
Li (0.0000, 0.0000, 0.0000)  4 Li 2.67-2.80, 4 As 2.80, 4 Si 2.80
As (0.0000, 0.5000, 0.5000)  2 Si 2.67, 2 As 2.80, 8 Li 2.80
Li (0.5000, 0.5000, 0.0000)  4 Li 2.67-2.80, 4 Si 2.80, 4 As 2.80

Properties
E above lowest polymorph = 14 meV per atom
Formation energy from raw total energies = -282 meV per atom
Crystal system = orthorhombic
Energy = -3.757 eV per atom

Below is a relaxed structure of LiTaAlRh, with properties calculated at the PBE level.

Unit cell a=4.3466 b=4.3466 c=4.3466 alpha=60.00 beta=60.00 gamma=60.00
With the nearest neighbours (Å) after each atom.
Element x y z (fractional)
Al (0.7500, 0.7500, 0.7500)  4 Li 2.66, 4 Rh 2.66
Li (0.0000, 0.0000, 0.0000)  4 Ta 2.66, 4 Al 2.66
Rh (0.5000, 0.5000, 0.5000)  4 Al 2.66, 4 Ta 2.66
Ta (0.2500, 0.2500, 0.2500)  4 Li 2.66, 4 Rh 2.66

Properties
DFT formation energy = -52.49 kJ per mole of atoms
Crystal system = cubic
Energy = -6.759 eV per atom

Below is a relaxed structure of SrCrIr2, with properties calculated at the PBE level.

Unit cell a=4.0254 b=4.2617 c=4.2617 alpha=90.00 beta=90.00 gamma=90.00
With the nearest neighbours (Å) after each atom.
Element x y z (fractional)
Ir (0.0000, 0.5000, 0.5000)  4 Cr 2.93, 4 Sr 2.93, 4 Ir 3.01
Sr (0.5000, 0.5000, 0.0000)  8 Ir 2.93, 4 Cr 3.01
Cr (0.5000, 0.0000, 0.5000)  8 Ir 2.93, 4 Sr 3.01
Ir (0.0000, 0.0000, 0.0000)  4 Cr 2.93, 4 Sr 2.93, 4 Ir 3.01

Properties
DFT formation energy = 47.29 kJ per mole of atoms
E above lowest polymorph = 465 meV per atom
Crystal system = tetragonal
Energy = -6.767 eV per atom

Below is a relaxed structure of CsLiLa2Cl8, with properties calculated at the PBE level.

Unit cell a=7.0026 b=6.9508 c=8.9456 alpha=90.00 beta=90.00 gamma=81.73
With the nearest neighbours (Å) after each atom.
Element x y z (fractional)
Cl (0.6561, 0.6944, 0.0000)  2 La 2.82
Cl (0.1822, 0.7753, 0.1976)  1 Li 2.57, 1 La 2.74
Li (0.0000, 0.0000, 0.0000)  4 Cl 2.57
Cl (0.8178, 0.2246, 0.1976)  1 Li 2.57, 1 La 2.74
Cl (0.1822, 0.7754, 0.8024)  1 Li 2.57, 1 La 2.74
Cl (0.6356, 0.6872, 0.5000)  2 La 2.91
Cl (0.8178, 0.2247, 0.8024)  1 Li 2.57, 1 La 2.74
La (0.5000, 0.5001, 0.7620)  6 Cl 2.74-2.91
Cl (0.3439, 0.3056, 0.0000)  2 La 2.82
Cs (0.0000, 0.0000, 0.5000)  6 Cl 3.29-3.58
La (0.5000, 0.4999, 0.2380)  6 Cl 2.74-2.91
Cl (0.3644, 0.3128, 0.5000)  2 La 2.91

Properties
Formation energy from raw total energies = -2175 meV per atom
Crystal system = monoclinic
Energy = -4.458 eV per atom

Below is a relaxed structure of Li2Ga2Tc, with properties calculated at the PBE level.

Unit cell a=7.1165 b=7.1165 c=2.7275 alpha=90.00 beta=90.00 gamma=90.00
With the nearest neighbours (Å) after each atom.
Element x y z (fractional)
Tc (0.0000, 0.0000, 0.0000)  4 Ga 2.72, 2 Tc 2.73, 8 Li 3.02
Li (0.6539, 0.8461, 0.5000)  6 Ga 2.43-2.54
Ga (0.1466, 0.3534, 0.0000)  6 Li 2.43-2.54
Ga (0.6466, 0.1466, 0.0000)  6 Li 2.43-2.54
Li (0.3461, 0.1539, 0.5000)  6 Ga 2.43-2.54
Ga (0.8534, 0.6466, 0.0000)  6 Li 2.43-2.54
Tc (0.5000, 0.5000, 0.0000)  4 Ga 2.72, 2 Tc 2.73, 8 Li 3.02
Ga (0.3534, 0.8534, 0.0000)  6 Li 2.43-2.54
Li (0.1539, 0.6539, 0.5000)  6 Ga 2.43-2.54
Li (0.8461, 0.3461, 0.5000)  6 Ga 2.43-2.54

Properties
DFT formation energy = -4.20 kJ per mole of atoms
E above lowest polymorph = 119 meV per atom
Crystal system = tetragonal
Energy = -4.093 eV per atom

Below is a relaxed structure of TiIrN2F, with properties calculated at the PBE level.

Unit cell a=3.8596 b=3.8596 c=4.1943 alpha=90.00 beta=90.00 gamma=90.00
With the nearest neighbours (Å) after each atom.
Element x y z (fractional)
Ir (0.0000, 0.0000, 0.0000)  4 N 1.93, 2 F 2.10
N (0.5000, 0.0000, 0.0000)  2 Ir 1.93
N (0.0000, 0.5000, 0.0000)  2 Ir 1.93
F (0.0000, 0.0000, 0.5000)  2 Ir 2.10
Ti (0.5000, 0.5000, 0.5000)  4 F 2.73, 8 N 2.85

Properties
E above lowest polymorph = 225 meV per atom
Formation energy from raw total energies = 423 meV per atom
Crystal system = tetragonal
Energy = -6.633 eV per atom

What are the spin magnetization values for these records? In order: 0.0; 0.0; 0.0; 1.2; 2.0; 0.0; 0.0; 6.2; 0.0; 0.0; 0.0; 3.5; 0.0; 0.0; 0.0 μB/f.u..